Material: Ba3Cu2IrO8
Method: DFT, GGA-PBE
State: relaxed

```
data_Ba3Cu2IrO8
_space_group_name_H-M_alt 'P 1'
_space_group_IT_number 1
_cell_length_a 5.771
_cell_length_b 5.771
_cell_length_c 7.601
_cell_angle_alpha 90.00
_cell_angle_beta 90.00
_cell_angle_gamma 120.00
loop_
_space_group_symop_operation_xyz
'x,y,z'
loop_
_atom_site_label
_atom_site_fract_x
_atom_site_fract_y
_atom_site_fract_z
Ba1 0.000 0.000 0.000
Ba2 0.333 0.667 0.651
Ba3 0.667 0.333 0.349
Cu1 0.333 0.667 0.216
Cu2 0.667 0.333 0.784
Ir1 0.000 0.000 0.500
O1 0.159 0.317 0.343
O2 0.159 0.841 0.343
O3 0.317 0.159 0.657
O4 0.333 0.667 0.981
O5 0.667 0.333 0.019
O6 0.683 0.841 0.343
O7 0.841 0.159 0.657
O8 0.841 0.683 0.657
```

## Properties
space-group type: P-3m1 (164)
E_form (uncorrected): -1.449 eV per atom
Fermi-level density of states: 0.918 states/eV/atom

Material: Ba3Cu2IrO6
Method: DFT, GGA-PBE
State: relaxed

```
data_Ba3Cu2IrO6
_space_group_name_H-M_alt 'P 1'
_space_group_IT_number 1
_cell_length_a 5.928
_cell_length_b 5.928
_cell_length_c 6.767
_cell_angle_alpha 90.00
_cell_angle_beta 90.00
_cell_angle_gamma 120.00
loop_
_space_group_symop_operation_xyz
'x,y,z'
loop_
_atom_site_label
_atom_site_fract_x
_atom_site_fract_y
_atom_site_fract_z
Ba1 0.000 0.000 0.000
Ba2 0.333 0.667 0.647
Ba3 0.667 0.333 0.353
Cu1 0.333 0.667 0.195
Cu2 0.667 0.333 0.805
Ir1 0.000 0.000 0.500
O1 0.162 0.324 0.323
O2 0.162 0.838 0.323
O3 0.324 0.162 0.677
O4 0.676 0.838 0.323
O5 0.838 0.162 0.677
O6 0.838 0.676 0.677
```

## Properties
space-group type: P-3m1 (164)
E_form (uncorrected): -1.417 eV per atom
Fermi-level density of states: 0.585 states/eV/atom

Material: Ba2Cu2IrO6
Method: DFT, GGA-PBE
State: relaxed

```
data_Ba2Cu2IrO6
_space_group_name_H-M_alt 'P 1'
_space_group_IT_number 1
_cell_length_a 6.332
_cell_length_b 6.332
_cell_length_c 6.332
_cell_angle_alpha 55.84
_cell_angle_beta 55.84
_cell_angle_gamma 55.84
loop_
_space_group_symop_operation_xyz
'x,y,z'
loop_
_atom_site_label
_atom_site_fract_x
_atom_site_fract_y
_atom_site_fract_z
Ba1 0.222 0.222 0.222
Ba2 0.778 0.778 0.778
Cu1 0.412 0.412 0.412
Cu2 0.588 0.588 0.588
Ir1 0.000 0.000 0.000
O1 0.223 0.770 0.770
O2 0.230 0.230 0.777
O3 0.230 0.777 0.230
O4 0.770 0.223 0.770
O5 0.770 0.770 0.223
O6 0.777 0.230 0.230
```

## Properties
space-group type: R-3m (166)
E_form (uncorrected): -1.401 eV per atom
Fermi-level density of states: 0.541 states/eV/atom

Material: Ba2CuIr3O12
Method: DFT, GGA-PBE
State: relaxed

```
data_Ba2CuIr3O12
_space_group_name_H-M_alt 'P 1'
_space_group_IT_number 1
_cell_length_a 6.954
_cell_length_b 6.954
_cell_length_c 6.954
_cell_angle_alpha 62.50
_cell_angle_beta 62.50
_cell_angle_gamma 62.50
loop_
_space_group_symop_operation_xyz
'x,y,z'
loop_
_atom_site_label
_atom_site_fract_x
_atom_site_fract_y
_atom_site_fract_z
Ba1 0.117 0.117 0.117
Ba2 0.883 0.883 0.883
Cu1 0.500 0.500 0.500
Ir1 0.000 0.500 0.500
Ir2 0.500 0.000 0.500
Ir3 0.500 0.500 0.000
O1 0.163 0.585 0.585
O2 0.174 0.174 0.598
O3 0.174 0.598 0.174
O4 0.402 0.826 0.826
O5 0.415 0.415 0.837
O6 0.415 0.837 0.415
O7 0.585 0.163 0.585
O8 0.585 0.585 0.163
O9 0.598 0.174 0.174
O10 0.826 0.402 0.826
O11 0.826 0.826 0.402
O12 0.837 0.415 0.415
```

## Properties
space-group type: R-3m (166)
E_form (uncorrected): -1.123 eV per atom
Fermi-level density of states: 0.535 states/eV/atom